Record 1
Compound: Ba2Rh3
Source: Alexandria via LeMat-Bulk
Functional: PBE
Structure: relaxed

Properties
- D(E_F) (states/eV per cell) = 12.24
- total magnetic moment (Bohr magnetons per cell) = 0.00
- space group = Fdd2
- E_tot (eV/atom) = -5.285

Cell and atoms, written as POSCAR:
```
Ba2Rh3
1.0
0.0000 8.3188 3.0586
4.9605 0.0000 3.0586
4.9605 8.3188 0.0000
Ba Rh
4 6
Direct
0.2115 0.7885 0.3796
0.6296 0.8704 0.4615
0.7885 0.2115 0.6204
0.8704 0.6296 0.0385
0.2305 0.2305 0.7695
0.2373 0.3120 0.0118
0.2382 0.8111 0.0127
0.3120 0.2373 0.4389
0.4805 0.4805 0.0195
0.8111 0.2382 0.9380
```

---

Record 2
Compound: Na2In3Bi
Source: Alexandria via LeMat-Bulk
Functional: PBE
Structure: relaxed

Properties
- D(E_F) (states/eV per cell) = 4.27
- total magnetic moment (Bohr magnetons per cell) = 0.00
- space group = C2/c
- E_tot (eV/atom) = -2.607
- energy above the lowest structure with this stoichiometry (meV per atom) = 0.0

Cell and atoms, written as POSCAR:
```
Na2In3Bi
1.0
4.2835 -4.6621 0.0000
4.2835 4.6621 0.0000
-1.8958 0.0000 8.3988
Na In Bi
4 6 2
Direct
0.1198 0.6290 0.8762
0.3710 0.8802 0.6238
0.6290 0.1198 0.3762
0.8802 0.3710 0.1238
0.1699 0.3452 0.5070
0.3452 0.1699 0.0070
0.4222 0.5778 0.2500
0.5778 0.4222 0.7500
0.6548 0.8301 0.9930
0.8301 0.6548 0.4930
0.0803 0.9197 0.2500
0.9197 0.0803 0.7500
```

---

Q: Number 2 is which compound?
A: Na2In3Bi